## a
{
  "formula": "CoCF2",
  "functional": "PBE+U",
  "state": "optimized geometry",
  "lattice_angstrom": [[-1.697, 1.697, 6.963], [1.697, -1.697, 6.963], [1.697, 1.697, -6.963]],
  "species": ["Co", "Co", "C", "C", "F", "F", "F", "F"],
  "fractional_positions": [[0.000, 0.000, 0.000], [0.750, 0.250, 0.500], [0.250, 0.750, 0.500], [0.500, 0.500, 0.000], [0.119, 0.625, 0.994], [0.375, 0.369, 0.494], [0.631, 0.125, 0.006], [0.875, 0.881, 0.506]],
  "total_magnetization_mub_per_cell": 3.90
}

## b
{
  "formula": "CoCF2",
  "functional": "PBE+U",
  "state": "optimized geometry",
  "lattice_angstrom": [[1.404, 0.810, 6.825], [-1.404, 0.810, 6.825], [0.000, -1.621, 6.825]],
  "species": ["Co", "C", "F", "F"],
  "fractional_positions": [[0.000, 0.000, 0.000], [0.500, 0.500, 0.500], [0.397, 0.397, 0.397], [0.603, 0.603, 0.603]],
  "total_magnetization_mub_per_cell": 2.70
}

Most stable structure: b

## a
{
  "formula": "CoCF3",
  "functional": "PBE+U",
  "state": "optimized geometry",
  "lattice_angstrom": [[3.854, 0.000, 0.000], [0.000, 3.854, 0.000], [0.000, 0.000, 3.854]],
  "species": ["Co", "C", "F", "F", "F"],
  "fractional_positions": [[0.000, 0.000, 0.000], [0.500, 0.500, 0.500], [0.000, 0.500, 0.500], [0.500, 0.000, 0.500], [0.500, 0.500, 0.000]],
  "total_magnetization_mub_per_cell": 2.20
}

## b
{
  "formula": "CoCF3",
  "functional": "PBE+U",
  "state": "optimized geometry",
  "lattice_angstrom": [[3.926, 0.000, 0.000], [0.000, 3.926, 0.000], [0.000, 0.000, 3.926]],
  "species": ["Co", "C", "F", "F", "F"],
  "fractional_positions": [[0.000, 0.000, 0.000], [0.500, 0.500, 0.500], [0.000, 0.000, 0.500], [0.000, 0.500, 0.000], [0.500, 0.000, 0.000]],
  "total_magnetization_mub_per_cell": 4.79
}

Most stable structure: b

## a
{
  "formula": "CoC3F",
  "functional": "PBE+U",
  "state": "optimized geometry",
  "lattice_angstrom": [[3.711, 0.000, 0.000], [0.000, 3.711, 0.000], [0.000, 0.000, 3.711]],
  "species": ["Co", "C", "C", "C", "F"],
  "fractional_positions": [[0.000, 0.000, 0.000], [0.000, 0.500, 0.500], [0.500, 0.000, 0.500], [0.500, 0.500, 0.000], [0.500, 0.500, 0.500]],
  "total_magnetization_mub_per_cell": 2.00
}

## b
{
  "formula": "CoC3F",
  "functional": "PBE+U",
  "state": "optimized geometry",
  "lattice_angstrom": [[3.676, 0.000, 0.000], [0.000, 3.676, 0.000], [0.000, 0.000, 3.676]],
  "species": ["Co", "C", "C", "C", "F"],
  "fractional_positions": [[0.000, 0.000, 0.000], [0.000, 0.000, 0.500], [0.000, 0.500, 0.000], [0.500, 0.000, 0.000], [0.500, 0.500, 0.500]],
  "total_magnetization_mub_per_cell": 2.00
}

Most stable structure: b

## a
{
  "formula": "Co2CF",
  "functional": "PBE+U",
  "state": "optimized geometry",
  "lattice_angstrom": [[0.000, 2.706, 2.706], [2.706, 0.000, 2.706], [2.706, 2.706, 0.000]],
  "species": ["Co", "Co", "C", "F"],
  "fractional_positions": [[0.250, 0.250, 0.250], [0.750, 0.750, 0.750], [0.000, 0.000, 0.000], [0.500, 0.500, 0.500]],
  "total_magnetization_mub_per_cell": 5.00
}

## b
{
  "formula": "Co2CF",
  "functional": "PBE+U",
  "state": "optimized geometry",
  "lattice_angstrom": [[-2.404, 2.404, 4.053], [2.404, -2.404, 4.053], [2.404, 2.404, -4.053]],
  "species": ["Co", "Co", "Co", "Co", "C", "C", "F", "F"],
  "fractional_positions": [[0.081, 0.625, 0.956], [0.375, 0.331, 0.456], [0.669, 0.125, 0.044], [0.875, 0.919, 0.544], [0.000, 0.000, 0.000], [0.750, 0.250, 0.500], [0.250, 0.750, 0.500], [0.500, 0.500, 0.000]],
  "total_magnetization_mub_per_cell": 6.50
}

Most stable structure: b